1.
MgAlFe2 | GGA-PBEsol | relaxed

Cell: 2.6749 4.5357 4.5357 Å, 107.36 90.00 90.00°
Closest atoms and distances in Å follow each position.
Positions (direct):
Mg  0.5000  0.5000  0.5000  8 Fe 2.63, 2 Mg 2.67, 2 Al 2.69
Al  0.5000  0.0000  0.0000  8 Fe 2.63, 2 Al 2.67, 2 Mg 2.69
Fe  0.0000  0.5000  0.0000  4 Mg 2.63, 4 Al 2.63, 4 Fe 2.67-2.69
Fe  0.0000  0.0000  0.5000  4 Al 2.63, 4 Mg 2.63, 4 Fe 2.67-2.69

Calculated values
Formation energy in eV per formula unit: 0.31
DOS(E_F) in states/eV/f.u.: 2.771



2.
MgAl2Fe | GGA-PBEsol | relaxed

Cell: 3.8699 3.9005 3.9005 Å, 90.00 90.00 90.00°
Closest atoms and distances in Å follow each position.
Positions (direct):
Mg  0.5000  0.0000  0.0000  8 Al 2.75, 4 Fe 2.76
Al  0.0000  0.0000  0.5000  4 Fe 2.75, 4 Mg 2.75, 4 Al 2.76
Al  0.0000  0.5000  0.0000  4 Fe 2.75, 4 Mg 2.75, 4 Al 2.76
Fe  0.5000  0.5000  0.5000  8 Al 2.75, 4 Mg 2.76

Calculated values
Formation energy in eV per formula unit: 0.18
DOS(E_F) in states/eV/f.u.: 3.093



3.
MgAlFe2 | GGA-PBEsol | relaxed

Cell: 2.8738 4.1970 4.1970 Å, 90.00 90.00 90.00°
Closest atoms and distances in Å follow each position.
Positions (direct):
Fe  0.0000  0.5000  0.0000  4 Mg 2.54, 4 Al 2.54
Mg  0.5000  0.5000  0.5000  8 Fe 2.54
Al  0.5000  0.0000  0.0000  8 Fe 2.54
Fe  0.0000  0.0000  0.5000  4 Al 2.54, 4 Mg 2.54

Calculated values
Formation energy in eV per formula unit: 0.49
DOS(E_F) in states/eV/f.u.: 6.274



4.
MgAl2Fe | GGA-PBEsol | relaxed

Cell: 3.8096 3.8096 4.8567 Å, 113.09 113.09 90.00°
Closest atoms and distances in Å follow each position.
Positions (direct):
Al  0.0000  0.0000  0.0000  4 Fe 2.69, 4 Mg 2.78, 4 Al 2.78
Fe  0.5000  0.5000  0.0000  8 Al 2.69-2.78, 4 Mg 2.78
Al  0.7500  0.2500  0.5000  4 Mg 2.69, 4 Fe 2.78, 4 Al 2.78
Mg  0.2500  0.7500  0.5000  8 Al 2.69-2.78, 4 Fe 2.78

Calculated values
Formation energy in eV per formula unit: 0.03
DOS(E_F) in states/eV/f.u.: 2.163



5.
MgAlFe2 | GGA-PBEsol | relaxed

Cell: 4.1850 4.1850 4.1850 Å, 60.00 60.00 60.00°
Closest atoms and distances in Å follow each position.
Positions (direct):
Al  0.5000  0.5000  0.5000  4 Fe 2.56, 4 Mg 2.56
Mg  0.2500  0.2500  0.2500  4 Fe 2.56, 4 Al 2.56
Fe  0.0000  0.0000  0.0000  4 Fe 2.56, 4 Mg 2.56
Fe  0.7500  0.7500  0.7500  4 Al 2.56, 4 Fe 2.56

Calculated values
Formation energy in eV per formula unit: 0.28
DOS(E_F) in states/eV/f.u.: 3.110



6.
MgAlFe2Mo | GGA-PBEsol | relaxed

Cell: 4.4006 4.4006 4.8003 Å, 90.00 90.00 90.00°
Closest atoms and distances in Å follow each position.
Positions (direct):
Fe  0.0000  0.5000  0.0000  2 Mo 2.20
Al  0.0000  0.0000  0.5000  2 Mo 2.40
Fe  0.5000  0.0000  0.0000  2 Mo 2.20
Mo  0.0000  0.0000  0.0000  4 Fe 2.20, 2 Al 2.40
Mg  0.5000  0.5000  0.5000  4 Al 3.11, 8 Fe 3.26

Calculated values
Formation energy in eV per formula unit: 5.57
DOS(E_F) in states/eV/f.u.: 6.406



7.
MgAlFeO4 | GGA-PBEsol | relaxed

Cell: 5.7669 5.8155 5.8217 Å, 120.04 90.00 119.72°
Closest atoms and distances in Å follow each position.
Positions (direct):
Al  0.0000  0.5000  0.5000  6 O 1.90-1.94
Mg  0.0000  0.0000  0.0000  6 O 2.03-2.06
O  0.7750  0.0386  0.2693  1 Fe 1.87, 1 Al 1.90, 2 Mg 2.03
O  0.2487  0.4974  0.2745  1 Fe 1.94, 2 Al 1.94, 1 Mg 2.06
O  0.7364  0.9614  0.7307  1 Fe 1.87, 1 Al 1.90, 2 Mg 2.03
Fe  0.3810  0.7619  0.1310  4 O 1.87-1.94
O  0.2250  0.9614  0.7307  1 Fe 1.87, 1 Al 1.90, 2 Mg 2.03
O  0.2636  0.0386  0.2693  1 Fe 1.87, 1 Al 1.90, 2 Mg 2.03
O  0.2487  0.4974  0.7229  1 Fe 1.94, 2 Al 1.94, 1 Mg 2.06
O  0.7513  0.5026  0.2771  1 Fe 1.94, 2 Al 1.94, 1 Mg 2.06
Mg  0.0000  0.0000  0.5000  6 O 2.03-2.06
Al  0.5000  0.5000  0.5000  6 O 1.90-1.94
Fe  0.6190  0.2381  0.8690  4 O 1.87-1.94
O  0.7513  0.5026  0.7255  1 Fe 1.94, 2 Al 1.94, 1 Mg 2.06

Calculated values
Formation energy (no corrections) in meV per atom: -2298



8.
Mg14AlFeO16 | GGA-PBEsol | relaxed

Cell: 4.1805 8.4421 8.4823 Å, 90.00 90.00 90.00°
Closest atoms and distances in Å follow each position.
Positions (direct):
Mg  0.5000  0.5000  0.7483  6 O 2.09-2.14
Mg  0.0000  0.2472  0.7447  6 O 2.08-2.17
O  0.5000  0.7512  0.7508  6 Mg 2.09-2.13
O  0.5000  0.5000  0.5000  6 Mg 2.09-2.13
O  0.5000  0.7512  0.2492  6 Mg 2.09-2.13
Mg  0.0000  0.5000  0.0000  6 O 2.07-2.23
O  0.0000  0.5000  0.2443  6 Mg 2.07-2.17
O  0.0000  0.0000  0.2175  1 Al 1.85
O  0.0000  0.7384  0.5000  5 Mg 2.01-2.09, 1 Fe 2.21
O  0.5000  0.0000  0.0000  2 Al 2.09, 4 Mg 2.11-2.16
Mg  0.0000  0.7528  0.2553  6 O 2.08-2.17
Mg  0.0000  0.2472  0.2553  6 O 2.08-2.17
O  0.0000  0.5000  0.7557  6 Mg 2.07-2.17
O  0.0000  0.7642  0.0000  1 Al 1.99, 4 Mg 2.09-2.17
O  0.5000  0.2488  0.7508  6 Mg 2.09-2.13
Mg  0.0000  0.7528  0.7447  6 O 2.08-2.17
O  0.5000  0.2488  0.2492  6 Mg 2.09-2.13
O  0.0000  0.2358  0.0000  1 Al 1.99, 4 Mg 2.09-2.17
Al  0.0000  0.0000  0.0000  4 O 1.85-1.99
Mg  0.5000  0.0000  0.7452  6 O 2.08-2.16
O  0.5000  0.0000  0.5000  4 Mg 2.08-2.09, 2 Fe 2.09
Fe  0.0000  0.0000  0.5000  4 O 2.09-2.21
Mg  0.5000  0.2482  0.5000  6 O 2.09-2.13
Mg  0.0000  0.5000  0.5000  6 O 2.01-2.17
O  0.0000  0.0000  0.7825  1 Al 1.85
O  0.0000  0.2616  0.5000  5 Mg 2.01-2.09, 1 Fe 2.21
Mg  0.5000  0.0000  0.2548  6 O 2.08-2.16
Mg  0.5000  0.2499  0.0000  6 O 2.09-2.11
Mg  0.5000  0.7501  0.0000  6 O 2.09-2.11
Mg  0.5000  0.5000  0.2517  6 O 2.09-2.14
O  0.5000  0.5000  0.0000  6 Mg 2.09-2.14
Mg  0.5000  0.7518  0.5000  6 O 2.09-2.13

Calculated values
DOS(E_F) in states/eV/f.u.: 3.686
Formation energy (no corrections) in meV per atom: -2581



9.
MgAlFeSe2 | GGA-PBEsol | relaxed

Cell: 4.4510 4.7934 4.7934 Å, 90.00 90.00 90.00°
Closest atoms and distances in Å follow each position.
Positions (direct):
Se  0.0000  0.0000  0.5000  2 Fe 2.40
Mg  0.5000  0.5000  0.5000  8 Se 3.27, 4 Al 3.39
Al  0.5000  0.0000  0.0000  2 Fe 2.23
Fe  0.0000  0.0000  0.0000  2 Al 2.23, 4 Se 2.40
Se  0.0000  0.5000  0.0000  2 Fe 2.40

Calculated values
DOS(E_F) in states/eV/f.u.: 4.312
Formation energy (no corrections) in meV per atom: 99



10.
Y5Mg5Al12Fe4Si6 | GGA-PBEsol | relaxed

Cell: 3.9480 11.7858 11.7858 Å, 90.00 90.00 90.00°
Closest atoms and distances in Å follow each position.
Positions (direct):
Mg  0.0000  0.7988  0.7988  2 Fe 2.67, 2 Al 2.94
Si  0.0000  0.0000  0.5000  2 Fe 2.29
Al  0.5000  0.6683  0.6683  2 Al 2.63, 3 Mg 2.80-2.94
Y  0.0000  0.2527  0.5000  8 Al 2.95-2.97, 1 Si 2.98
Si  0.5000  0.1887  0.0000  2 Fe 2.41, 2 Al 2.55
Si  0.5000  0.0000  0.8113  2 Fe 2.41, 2 Al 2.55
Y  0.0000  0.0000  0.0000  8 Si 2.97
Y  0.0000  0.5000  0.7473  8 Al 2.95-2.97, 1 Si 2.98
Fe  0.0000  0.3053  0.0000  3 Si 2.29-2.41, 4 Al 2.51
Al  0.5000  0.3732  0.1128  2 Fe 2.51, 3 Si 2.55-2.81, 2 Al 2.63-2.66
Al  0.5000  0.1128  0.6268  2 Fe 2.51, 3 Si 2.55-2.81, 2 Al 2.63-2.66
Al  0.5000  0.3732  0.8872  2 Fe 2.51, 3 Si 2.55-2.81, 2 Al 2.63-2.66
Al  0.5000  0.3317  0.6683  2 Al 2.63, 3 Mg 2.80-2.94
Al  0.5000  0.8872  0.6268  2 Fe 2.51, 3 Si 2.55-2.81, 2 Al 2.63-2.66
Si  0.5000  0.0000  0.1887  2 Fe 2.41, 2 Al 2.55
Y  0.0000  0.5000  0.2527  8 Al 2.95-2.97, 1 Si 2.98
Al  0.5000  0.3317  0.3317  2 Al 2.63, 3 Mg 2.80-2.94
Si  0.5000  0.8113  0.0000  2 Fe 2.41, 2 Al 2.55
Si  0.0000  0.5000  0.0000  2 Fe 2.29
Al  0.5000  0.6683  0.3317  2 Al 2.63, 3 Mg 2.80-2.94
Mg  0.0000  0.2012  0.2012  2 Fe 2.67, 2 Al 2.94
Al  0.5000  0.6268  0.8872  2 Fe 2.51, 3 Si 2.55-2.81, 2 Al 2.63-2.66
Al  0.5000  0.6268  0.1128  2 Fe 2.51, 3 Si 2.55-2.81, 2 Al 2.63-2.66
Al  0.5000  0.1128  0.3732  2 Fe 2.51, 3 Si 2.55-2.81, 2 Al 2.63-2.66
Mg  0.5000  0.5000  0.5000  4 Al 2.80
Fe  0.0000  0.0000  0.3053  3 Si 2.29-2.41, 4 Al 2.51
Fe  0.0000  0.0000  0.6947  3 Si 2.29-2.41, 4 Al 2.51
Mg  0.0000  0.2012  0.7988  2 Fe 2.67, 2 Al 2.94
Fe  0.0000  0.6947  0.0000  3 Si 2.29-2.41, 4 Al 2.51
Al  0.5000  0.8872  0.3732  2 Fe 2.51, 3 Si 2.55-2.81, 2 Al 2.63-2.66
Mg  0.0000  0.7988  0.2012  2 Fe 2.67, 2 Al 2.94
Y  0.0000  0.7473  0.5000  8 Al 2.95-2.97, 1 Si 2.98

Calculated values
DOS(E_F) in states/eV/f.u.: 10.663
Formation energy (no corrections) in meV per atom: -409



11.
MnAlFe6 | GGA-PBEsol | relaxed

Cell: 6.0889 6.0889 9.9627 Å, 90.00 90.00 109.57°
Closest atoms and distances in Å follow each position.
Positions (direct):
Mn  0.0000  0.0000  0.7486  12 Fe 2.45-2.50
Fe  0.7522  0.2478  0.2555  2 Mn 2.44-2.47, 8 Fe 2.44-2.53, 2 Al 2.51-2.55
Fe  0.3726  0.1198  0.3782  8 Fe 2.43-2.51, 3 Mn 2.44-2.49, 1 Al 2.51
Fe  0.6297  0.8772  0.1281  1 Mn 2.45, 8 Fe 2.46-2.55, 3 Al 2.50-2.52
Fe  0.1228  0.3703  0.1281  1 Mn 2.45, 8 Fe 2.46-2.55, 3 Al 2.50-2.52
Mn  0.0000  0.0000  0.2514  12 Fe 2.45-2.50
Fe  0.6274  0.8802  0.3782  8 Fe 2.43-2.51, 3 Mn 2.44-2.49, 1 Al 2.51
Fe  0.0000  0.0000  0.0000  8 Fe 2.48, 2 Al 2.50, 2 Mn 2.50
Fe  0.8802  0.6274  0.3782  8 Fe 2.43-2.51, 3 Mn 2.44-2.49, 1 Al 2.51
Al  0.5000  0.5000  0.7469  12 Fe 2.46-2.52
Fe  0.2478  0.7522  0.2555  2 Mn 2.44-2.47, 8 Fe 2.44-2.53, 2 Al 2.51-2.55
Al  0.7491  0.2509  0.0000  12 Fe 2.48-2.55
Fe  0.6297  0.8772  0.8719  1 Mn 2.45, 8 Fe 2.46-2.55, 3 Al 2.50-2.52
Fe  0.1228  0.3703  0.8719  1 Mn 2.45, 8 Fe 2.46-2.55, 3 Al 2.50-2.52
Fe  0.1198  0.3726  0.6218  8 Fe 2.43-2.51, 3 Mn 2.44-2.49, 1 Al 2.51
Fe  0.7522  0.2478  0.7445  2 Mn 2.44-2.47, 8 Fe 2.44-2.53, 2 Al 2.51-2.55
Fe  0.2478  0.7522  0.7445  2 Mn 2.44-2.47, 8 Fe 2.44-2.53, 2 Al 2.51-2.55
Fe  0.8802  0.6274  0.6218  8 Fe 2.43-2.51, 3 Mn 2.44-2.49, 1 Al 2.51
Mn  0.7515  0.2485  0.5000  12 Fe 2.44-2.50
Fe  0.5000  0.5000  0.0000  4 Al 2.48-2.52, 8 Fe 2.51
Fe  0.3703  0.1228  0.8719  1 Mn 2.45, 8 Fe 2.46-2.55, 3 Al 2.50-2.52
Fe  0.1198  0.3726  0.3782  8 Fe 2.43-2.51, 3 Mn 2.44-2.49, 1 Al 2.51
Al  0.2509  0.7491  0.0000  12 Fe 2.48-2.55
Al  0.5000  0.5000  0.2531  12 Fe 2.46-2.52
Fe  0.6274  0.8802  0.6218  8 Fe 2.43-2.51, 3 Mn 2.44-2.49, 1 Al 2.51
Fe  0.5000  0.5000  0.5000  2 Al 2.46, 8 Fe 2.50, 2 Mn 2.50
Mn  0.2485  0.7515  0.5000  12 Fe 2.44-2.50
Fe  0.8772  0.6297  0.1281  1 Mn 2.45, 8 Fe 2.46-2.55, 3 Al 2.50-2.52
Fe  0.3726  0.1198  0.6218  8 Fe 2.43-2.51, 3 Mn 2.44-2.49, 1 Al 2.51
Fe  0.8772  0.6297  0.8719  1 Mn 2.45, 8 Fe 2.46-2.55, 3 Al 2.50-2.52
Fe  0.3703  0.1228  0.1281  1 Mn 2.45, 8 Fe 2.46-2.55, 3 Al 2.50-2.52
Fe  0.0000  0.0000  0.5000  8 Fe 2.46, 4 Mn 2.47-2.48

Calculated values
Formation energy in eV per formula unit: -0.53
DOS(E_F) in states/eV/f.u.: 7.395



12.
MnAlFe2 | GGA-PBEsol | relaxed

Cell: 2.8017 2.8017 5.6914 Å, 90.00 90.00 90.00°
Closest atoms and distances in Å follow each position.
Positions (direct):
Fe  0.5000  0.5000  0.2491  4 Mn 2.38, 4 Fe 2.40
Mn  0.0000  0.0000  0.4822  4 Fe 2.38, 4 Al 2.52
Al  0.5000  0.5000  0.7562  4 Fe 2.46, 4 Mn 2.52
Fe  0.0000  0.0000  0.0124  4 Fe 2.40, 4 Al 2.46, 1 Mn 2.67

Calculated values
Formation energy in eV per formula unit: -0.41
DOS(E_F) in states/eV/f.u.: 2.862